Here is a relaxed LiTaRu2 crystal from the Alexandria database. Energies are from GGA-PBE.

Calculated values
ΔE_f = 43 meV/atom
space group = Cmmm
spin magnetization = 0.00 μB/cell
Fermi-level density of states = 3.71 states/eV/f.u.
offset from the most stable computed form = 0.97 eV/f.u.

Cell lengths 3.1204, 4.6874, 8.4257 Å; angles 90.00, 90.00, 90.00 degrees
Positions (direct):
Li  0.0000  0.0000  0.0000
Li  0.5000  0.5000  0.0000
Ta  0.0000  0.0000  0.5000
Ta  0.5000  0.5000  0.5000
Ru  0.0000  0.5000  0.2557
Ru  0.0000  0.5000  0.7443
Ru  0.5000  0.0000  0.2557
Ru  0.5000  0.0000  0.7443